Compound: Tb2VO
Source: Alexandria
Functional: PBE+U
Structure: relaxed

Summary:
SG	R-3m
final energy	-6.100	eV per atom
V	21.76	Å³ per atom

a = 3.3775 Å, b = 3.3775 Å, c = 9.0226 Å
α = 79.21°, β = 79.21°, γ = 60.00°
Each line ends with the local moment (μB).
Sites, in units of the cell vectors:
1 Tb 0.1139 0.1139 0.6583  -0.07
2 Tb 0.8861 0.8861 0.3417  -0.07
3 O 0.5000 0.5000 0.5000  -0.01
4 V 0.0000 0.0000 0.0000  2.75